(1)
Compound: InSbTe2Mo
Source: Alexandria
Functional: PBE
Structure: relaxed

Calculated values
- energy above the lowest structure with this stoichiometry (eV/atom) = 0.923
- spin magnetization (μB/atom) = 0.63
- D(E_F) (states/eV/cell) = 5.07
- calculated total energy (Ha/atom) = -0.12953
- energy relative to the elements, uncorrected (eV/atom) = 1.27

Lattice parameters (Å, degrees): 5.644 5.644 5.515 90.00 90.00 90.00
Site moments in Bohr magnetons follow the coordinates.
Fractional coordinates of all 5 atoms:
In 0.000 0.000 0.000  0.01
Sb 0.000 0.000 0.500  -0.30
Te 0.000 0.500 0.000  -0.20
Te 0.500 0.000 0.000  -0.20
Mo 0.500 0.500 0.500  3.70


(2)
Compound: VInSb2Mo
Source: Alexandria
Functional: PBE
Structure: relaxed

Calculated values
- spin magnetization (μB/atom) = 1.18
- D(E_F) (states/eV/cell) = 2.89
- calculated total energy (Ha/atom) = -0.19099
- energy relative to the elements, uncorrected (eV/atom) = 0.99

Lattice parameters (Å, degrees): 5.174 5.349 5.174 90.00 90.00 90.00
Site moments in Bohr magnetons follow the coordinates.
Fractional coordinates of all 5 atoms:
Sb 0.500 0.000 0.000  -0.08
Sb 0.000 0.000 0.500  -0.09
In 0.000 0.500 0.000  0.03
V 0.000 0.000 0.000  1.28
Mo 0.500 0.500 0.500  3.73


(3)
Compound: InSbMo2W
Source: Alexandria
Functional: PBE
Structure: relaxed

Calculated values
- energy above the lowest structure with this stoichiometry (eV/atom) = 0.827
- spin magnetization (μB/atom) = 0.76
- D(E_F) (states/eV/cell) = 8.04
- calculated total energy (Ha/atom) = -0.20280
- energy relative to the elements, uncorrected (eV/atom) = 2.78

Lattice parameters (Å, degrees): 4.938 5.117 4.938 90.00 90.00 90.00
Site moments in Bohr magnetons follow the coordinates.
Fractional coordinates of all 5 atoms:
In 0.000 0.000 0.000  0.03
W 0.500 0.500 0.500  0.36
Mo 0.500 0.000 0.000  1.34
Mo 0.000 0.000 0.500  1.54
Sb 0.000 0.500 0.000  -0.04


(4)
Compound: InSbMo2W
Source: Alexandria
Functional: PBE
Structure: relaxed

Calculated values
- energy above the lowest structure with this stoichiometry (eV/atom) = 0.000
- spin magnetization (μB/atom) = 0.00
- D(E_F) (states/eV/cell) = 8.10
- calculated total energy (Ha/atom) = -0.23320
- energy relative to the elements, uncorrected (eV/atom) = 1.95

Lattice parameters (Å, degrees): 4.902 4.915 4.902 90.00 90.00 90.00
Fractional coordinates of all 5 atoms:
Mo 0.000 0.000 0.500
Mo 0.500 0.000 0.000
W 0.000 0.500 0.000
In 0.500 0.500 0.500
Sb 0.000 0.000 0.000


(5)
Compound: YInSbMo2
Source: Alexandria
Functional: PBE
Structure: relaxed

Calculated values
- spin magnetization (μB/atom) = 1.13
- D(E_F) (states/eV/cell) = 3.92
- calculated total energy (Ha/atom) = -0.20554
- energy relative to the elements, uncorrected (eV/atom) = 1.40

Lattice parameters (Å, degrees): 5.105 5.539 5.105 90.00 90.00 90.00
Site moments in Bohr magnetons follow the coordinates.
Fractional coordinates of all 5 atoms:
Y 0.000 0.500 0.000  -0.08
In 0.000 0.000 0.000  -0.05
Sb 0.500 0.500 0.500  -0.06
Mo 0.000 0.000 0.500  2.62
Mo 0.500 0.000 0.000  2.25


(6)
Compound: ScIn3Mo
Source: Alexandria
Functional: PBE
Structure: relaxed

Calculated values
- formation enthalpy at 0 K (eV per atom) = 1.25
- spin magnetization (μB/atom) = 0.60
- D(E_F) (states/eV/cell) = 6.90
- calculated total energy (Ha/atom) = -0.14057

Lattice parameters (Å, degrees): 5.437 5.437 5.437 90.00 90.00 90.00
Site moments in Bohr magnetons follow the coordinates.
Fractional coordinates of all 5 atoms:
Sc 0.000 0.000 0.000  -0.63
In 0.000 0.000 0.500  -0.06
In 0.500 0.000 0.000  -0.13
In 0.000 0.500 0.000  -0.14
Mo 0.500 0.500 0.500  3.64


(7)
Compound: ScInMo3
Source: Alexandria
Functional: PBE
Structure: relaxed

Calculated values
- formation enthalpy at 0 K (eV per atom) = 1.72
- energy above the lowest structure with this stoichiometry (eV/atom) = 0.000
- spin magnetization (μB/atom) = 0.00
- D(E_F) (states/eV/cell) = 6.31
- calculated total energy (Ha/atom) = -0.24233

Lattice parameters (Å, degrees): 4.672 4.672 4.672 90.00 90.00 90.00
Fractional coordinates of all 5 atoms:
Sc 0.000 0.000 0.000
Mo 0.500 0.000 0.000
Mo 0.000 0.000 0.500
Mo 0.000 0.500 0.000
In 0.500 0.500 0.500


(8)
Compound: ScInMo3
Source: Alexandria
Functional: PBE
Structure: relaxed

Calculated values
- formation enthalpy at 0 K (eV per atom) = 2.00
- energy above the lowest structure with this stoichiometry (eV/atom) = 0.281
- spin magnetization (μB/atom) = 0.00
- D(E_F) (states/eV/cell) = 8.61
- calculated total energy (Ha/atom) = -0.23202

Lattice parameters (Å, degrees): 4.903 4.903 4.903 90.00 90.00 90.00
Fractional coordinates of all 5 atoms:
Mo 0.000 0.000 0.500
Mo 0.500 0.000 0.000
Mo 0.000 0.500 0.000
Sc 0.500 0.500 0.500
In 0.000 0.000 0.000


Copy entry 6 word for word.
Compound: ScIn3Mo
Source: Alexandria
Functional: PBE
Structure: relaxed

Calculated values
- formation enthalpy at 0 K (eV per atom) = 1.25
- spin magnetization (μB/atom) = 0.60
- D(E_F) (states/eV/cell) = 6.90
- calculated total energy (Ha/atom) = -0.14057

Lattice parameters (Å, degrees): 5.437 5.437 5.437 90.00 90.00 90.00
Site moments in Bohr magnetons follow the coordinates.
Fractional coordinates of all 5 atoms:
Sc 0.000 0.000 0.000  -0.63
In 0.000 0.000 0.500  -0.06
In 0.500 0.000 0.000  -0.13
In 0.000 0.500 0.000  -0.14
Mo 0.500 0.500 0.500  3.64